# VBiBrO4

VBiBrO4 after structural relaxation (GGA+U, the Alexandria database).

abc: 11.7851 6.6680 6.9044
angles: 90.00 102.73 90.00
With the nearest neighbours (Å) after each atom.
Space group C2/m (No. 12)
Asymmetric unit:
V  0.1324  0.0000  0.2655  4 O 1.72-1.77
Bi  0.2104  0.0000  0.8342  4 O 2.23-2.38
Br  0.0212  0.5000  0.6704  1 Br 2.30
O  0.0155  0.0000  0.7488  1 V 1.72
O  0.1737  0.2041  0.1317  1 V 1.77
O  0.2080  0.0000  0.5100  1 V 1.73

Electronic total energy: -6.042 eV per atom
Crystal system: monoclinic